{
  "formula": "Nb4CrRe",
  "functional": "PBE",
  "state": "relaxed",
  "formation_enthalpy_0k_ev_per_atom": 0.461,
  "space_group": "No. 12",
  "lattice_angstrom": [[4.3333, 0.0001, -0.0001], [-0.0001, 4.3343, 0.0005], [0.0048, 0.0082, 6.1575]],
  "species": ["Nb", "Re", "Nb", "Nb", "Cr", "Nb"],
  "frac_coords": [[0.0011, 0.4969, 0.2560], [0.5013, 0.4973, 0.9981], [0.0015, 0.4976, 0.7402], [0.5011, 0.9970, 0.2560], [0.0013, 0.9973, 0.4982], [0.5015, 0.9976, 0.7402]]
}

{
  "formula": "MgCu2Ru",
  "functional": "PBE",
  "state": "relaxed",
  "formation_enthalpy_0k_ev_per_atom": 0.181,
  "space_group": "No. 216",
  "lattice_angstrom": [[4.2711, 0.0000, 0.0000], [2.1356, 3.6989, 0.0000], [2.1356, 1.2330, 3.4874]],
  "species": ["Mg", "Cu", "Cu", "Ru"],
  "frac_coords": [[0.5000, 0.5000, 0.5000], [0.2500, 0.2500, 0.2500], [0.0000, 0.0000, 0.0000], [0.7500, 0.7500, 0.7500]]
}

{
  "formula": "Pm2UP3Rh4",
  "functional": "PBE",
  "state": "relaxed",
  "formation_enthalpy_0k_ev_per_atom": -0.964,
  "space_group": "No. 115",
  "lattice_angstrom": [[4.0535, 0.0000, 0.0000], [0.0000, 4.0535, 0.0000], [0.0000, 0.0000, 11.0257]],
  "species": ["Pm", "Rh", "Rh", "P", "Rh", "P", "P", "Rh", "Pm", "U"],
  "frac_coords": [[0.0000, 0.5000, 0.7787], [0.0000, 0.5000, 0.3413], [0.0000, 0.0000, 0.0000], [0.5000, 0.0000, 0.8732], [0.5000, 0.0000, 0.6587], [0.0000, 0.5000, 0.1268], [0.0000, 0.0000, 0.5000], [0.5000, 0.5000, 0.0000], [0.5000, 0.0000, 0.2213], [0.5000, 0.5000, 0.5000]]
}

{
  "formula": "Pm4Nd2SmHo",
  "functional": "PBE",
  "state": "relaxed",
  "formation_enthalpy_0k_ev_per_atom": 0.383,
  "space_group": "No. 15",
  "lattice_angstrom": [[9.4587, -0.0088, -1.7233], [-0.0155, 9.4587, -1.7233], [-6.0225, -6.0267, 8.4033]],
  "species": ["Nd", "Ho", "Sm", "Nd", "Ho", "Pm", "Nd", "Pm", "Sm", "Nd", "Pm", "Pm", "Pm", "Pm", "Pm", "Pm"],
  "frac_coords": [[0.0000, 0.0000, 0.5000], [0.5000, 0.5000, 0.5000], [0.0000, 0.5000, 0.5000], [0.5000, 0.5000, 0.0000], [0.0000, 0.0000, 0.0000], [0.2858, 0.2871, 0.0399], [0.5000, 0.0000, 0.0000], [0.2447, 0.7546, 0.9981], [0.0000, 0.5000, 0.0000], [0.5000, 0.0000, 0.5000], [0.7454, 0.2553, 0.5019], [0.2546, 0.7447, 0.4981], [0.7871, 0.7858, 0.5399], [0.2129, 0.2142, 0.4601], [0.7142, 0.7129, 0.9601], [0.7553, 0.2454, 0.0019]]
}

{
  "formula": "Dy2YZrP4",
  "functional": "PBE",
  "state": "relaxed",
  "formation_enthalpy_0k_ev_per_atom": -1.554,
  "space_group": "No. 10",
  "lattice_angstrom": [[-1.2102, -3.5051, 1.2948], [2.3157, 1.5006, 6.2266], [-6.4761, 2.0359, -0.5420]],
  "species": ["P", "P", "Zr", "P", "P", "Dy", "Y", "Dy"],
  "frac_coords": [[0.5000, 0.7607, 0.7603], [0.5000, 0.2393, 0.2397], [0.0000, 0.0000, 0.0000], [0.0000, 0.7562, 0.2445], [0.0000, 0.2438, 0.7555], [0.0000, 0.5000, 0.5000], [0.5000, 0.5000, 0.0000], [0.5000, 0.0000, 0.5000]]
}

{
  "formula": "Pr8InBi6",
  "functional": "PBE",
  "state": "relaxed",
  "formation_enthalpy_0k_ev_per_atom": -0.723,
  "space_group": "No. 148",
  "lattice_angstrom": [[9.7150, 0.0000, 0.0000], [4.8575, 8.4135, 0.0000], [4.8575, 2.8045, 6.5432]],
  "species": ["Pr", "Pr", "Pr", "Bi", "Pr", "Pr", "Bi", "In", "Pr", "Pr", "Bi", "Pr", "Bi", "Bi", "Bi"],
  "frac_coords": [[0.9035, 0.6437, 0.2699], [0.6665, 0.6665, 0.0004], [0.6437, 0.1829, 0.2699], [0.4596, 0.0713, 0.7695], [0.3563, 0.8171, 0.7301], [0.3335, 0.3335, 0.9996], [0.5404, 0.9287, 0.2305], [0.0000, 0.0000, 0.0000], [0.1829, 0.9035, 0.2699], [0.0965, 0.3563, 0.7301], [0.0713, 0.6996, 0.7695], [0.8171, 0.0965, 0.7301], [0.6996, 0.4596, 0.7695], [0.9287, 0.3004, 0.2305], [0.3004, 0.5404, 0.2305]]
}

{
  "formula": "Be2ZnRu",
  "functional": "PBE",
  "state": "relaxed",
  "formation_enthalpy_0k_ev_per_atom": -0.109,
  "space_group": "No. 6",
  "lattice_angstrom": [[-3.0613, -0.7624, 1.4537], [-0.6492, -1.8079, -2.3154], [1.4360, -4.1133, 0.8667]],
  "species": ["Zn", "Be", "Be", "Ru"],
  "frac_coords": [[0.5000, 0.7746, 0.8247], [0.0000, 0.1964, 0.9819], [0.5000, 0.0467, 0.2816], [0.0000, 0.4823, 0.4118]]
}

{
  "formula": "Na2Hg2I7",
  "functional": "PBE",
  "state": "relaxed",
  "e_form_raw_ev_per_atom": -0.54,
  "space_group": "No. 12",
  "lattice_angstrom": [[-6.6777, 2.8290, -2.1222], [-2.1490, -7.8826, 2.3975], [1.5808, 4.4419, 7.0903]],
  "species": ["I", "I", "I", "Na", "I", "I", "I", "I", "Hg", "Na", "Hg"],
  "frac_coords": [[0.2512, 0.4686, 0.0999], [0.2512, 0.0999, 0.4686], [0.8033, 0.3499, 0.3499], [0.0000, 0.7035, 0.2965], [0.5000, 0.0000, 0.0000], [0.7488, 0.5314, 0.9001], [0.1967, 0.6501, 0.6501], [0.7488, 0.9001, 0.5314], [0.6168, 0.7385, 0.7385], [0.0000, 0.2965, 0.7035], [0.3832, 0.2615, 0.2615]]
}

{
  "formula": "LaYHoPu",
  "functional": "PBE",
  "state": "relaxed",
  "formation_enthalpy_0k_ev_per_atom": 0.207,
  "space_group": "No. 216",
  "lattice_angstrom": [[5.6592, 0.0000, 0.0000], [2.8296, 4.9010, 0.0000], [2.8296, 1.6337, 4.6207]],
  "species": ["Ho", "Y", "Pu", "La"],
  "frac_coords": [[0.5000, 0.5000, 0.5000], [0.2500, 0.2500, 0.2500], [0.7500, 0.7500, 0.7500], [0.0000, 0.0000, 0.0000]]
}

{
  "formula": "MgH3Pd3",
  "functional": "PBE",
  "state": "relaxed",
  "space_group": "No. 223",
  "lattice_angstrom": [[-2.0692, -2.8636, 3.9752], [4.4953, -2.8255, 0.3045], [1.9480, 3.4785, 3.5198]],
  "species": ["H", "H", "Pd", "Mg", "Pd", "Mg", "Pd", "H", "Pd", "H", "Pd", "Pd", "H", "H"],
  "frac_coords": [[0.0000, 0.5000, 0.2500], [0.5000, 0.2500, 0.0000], [0.2500, 0.5000, 0.0000], [0.0000, 0.0000, 0.0000], [0.0000, 0.2500, 0.5000], [0.5000, 0.5000, 0.5000], [0.5000, 0.0000, 0.7500], [0.2500, 0.0000, 0.5000], [0.0000, 0.7500, 0.5000], [0.7500, 0.0000, 0.5000], [0.5000, 0.0000, 0.2500], [0.7500, 0.5000, 0.0000], [0.0000, 0.5000, 0.7500], [0.5000, 0.7500, 0.0000]]
}

{
  "formula": "Cu2PtRhCl",
  "functional": "PBE",
  "state": "relaxed",
  "e_form_raw_ev_per_atom": 1.13,
  "space_group": "No. 123",
  "lattice_angstrom": [[-0.2955, 4.7421, -0.0420], [-4.1007, -0.2735, -2.0373], [-2.1086, -0.0937, 4.2569]],
  "species": ["Cu", "Cu", "Rh", "Cl", "Pt"],
  "frac_coords": [[0.0000, 0.0000, 0.5000], [0.5000, 0.0000, 0.0000], [0.5000, 0.5000, 0.5000], [0.0000, 0.5000, 0.0000], [0.0000, 0.0000, 0.0000]]
}

{
  "formula": "Ba2SrAgRh",
  "functional": "PBE",
  "state": "relaxed",
  "formation_enthalpy_0k_ev_per_atom": -0.099,
  "space_group": "No. 123",
  "lattice_angstrom": [[5.9667, 0.0000, 0.0000], [0.0000, 5.9667, 0.0000], [0.0000, 0.0000, 5.8116]],
  "species": ["Ba", "Sr", "Rh", "Ba", "Ag"],
  "frac_coords": [[0.0000, 0.5000, 0.0000], [0.0000, 0.0000, 0.5000], [0.0000, 0.0000, 0.0000], [0.5000, 0.0000, 0.0000], [0.5000, 0.5000, 0.5000]]
}

Asked for E across the records above, the calculation gives -9.931 -4.585 -7.606 -4.346 -7.286 -5.007 -4.609 -1.820 -7.369 -4.183 -3.554 -3.245 eV/atom in order.
Asked for ρ across the records above, the calculation gives 8.76 7.61 9.46 7.08 6.07 7.75 7.01 4.51 8.25 7.65 7.38 4.60 g/cm³ in order.
Asked for calculated volume across the records above, the calculation gives 115.6 55.1 181.2 555.2 172.0 534.8 43.7 492.0 128.2 150.4 103.6 206.9 Å³/cell in order.